(1)
This record from Alexandria via LeMat-Bulk describes SnTe2ICl after structural relaxation. The functional is PBE.

a = 5.853 Å, b = 5.853 Å, c = 5.875 Å
α = 90.00°, β = 90.00°, γ = 90.00°
Atoms (fractional coordinates):
Sn1 0.000 0.000 0.000
Te1 0.000 0.500 0.000
Te2 0.500 0.000 0.000
I1 0.000 0.000 0.500
Cl1 0.500 0.500 0.500

Results
E_form (uncorrected), eV per atom: 0.367
Energy, eV/atom: -2.37
SG: P4/mmm, No. 123
Crystal system: tetragonal

=====

(2)
This record from Alexandria via LeMat-Bulk describes ZrCdCuGe2 after structural relaxation. The functional is PBE.

a = 4.925 Å, b = 4.925 Å, c = 5.441 Å
α = 90.00°, β = 90.00°, γ = 90.00°
Atoms (fractional coordinates):
Zr1 0.000 0.000 0.000
Cd1 0.000 0.000 0.500
Cu1 0.500 0.500 0.000
Ge1 0.000 0.500 0.500
Ge2 0.500 0.000 0.500

Results
Energy, eV/atom: -3.35
ΔE_f, meV/atom: 1206
SG: P4/mmm, No. 123
Crystal system: tetragonal

=====

(3)
This record from Alexandria via LeMat-Bulk describes AlRhIN2 after structural relaxation. The functional is PBE.

a = 3.887 Å, b = 3.887 Å, c = 7.332 Å
α = 90.00°, β = 90.00°, γ = 90.00°
Atoms (fractional coordinates):
Al1 0.000 0.000 0.000
Rh1 0.500 0.500 0.500
I1 0.500 0.500 0.000
N1 0.000 0.500 0.500
N2 0.500 0.000 0.500

Results
E_form (uncorrected), eV per atom: 1.177
Energy, eV/atom: -4.68
SG: P4/mmm, No. 123
Crystal system: tetragonal

=====

(4)
This record from Alexandria via LeMat-Bulk describes TbDy5In3 after structural relaxation. The functional is PBE.

a = 9.351 Å, b = 9.351 Å, c = 6.725 Å
α = 90.00°, β = 90.00°, γ = 120.00°
Atoms (fractional coordinates):
Tb1 0.000 0.000 0.000
Tb2 0.000 0.000 0.500
Dy1 0.000 0.333 0.250
Dy2 0.000 0.667 0.750
Dy3 0.333 0.000 0.250
Dy4 0.333 0.333 0.750
Dy5 0.333 0.667 0.000
Dy6 0.333 0.667 0.500
Dy7 0.667 0.000 0.750
Dy8 0.667 0.333 0.000
Dy9 0.667 0.333 0.500
Dy10 0.667 0.667 0.250
In1 0.000 0.334 0.750
In2 0.000 0.666 0.250
In3 0.334 0.000 0.750
In4 0.334 0.334 0.250
In5 0.666 0.000 0.250
In6 0.666 0.666 0.750

Results
Energy, eV/atom: -4.34
ΔE_f, meV/atom: -354
SG: P6_3/mcm, No. 193
Crystal system: hexagonal

=====

(5)
This record from Alexandria via LeMat-Bulk describes HfAu3S after structural relaxation. The functional is PBE.

a = 5.206 Å, b = 5.206 Å, c = 5.206 Å
α = 90.00°, β = 90.00°, γ = 90.00°
Atoms (fractional coordinates):
Hf1 0.000 0.000 0.000
Au1 0.000 0.000 0.500
Au2 0.000 0.500 0.000
Au3 0.500 0.000 0.000
S1 0.500 0.500 0.500

Results
E_form (uncorrected), eV per atom: 1.007
Energy, eV/atom: -3.78
SG: Pm-3m, No. 221
Crystal system: cubic

=====

(6)
This record from Alexandria via LeMat-Bulk describes BaZrRh2 after structural relaxation. The functional is PBE.

a = 5.085 Å, b = 5.085 Å, c = 6.213 Å
α = 100.58°, β = 100.58°, γ = 40.31°
Atoms (fractional coordinates):
Ba1 0.000 0.000 0.000
Zr1 0.199 0.199 0.561
Rh1 0.493 0.493 0.510
Rh2 0.777 0.777 0.305

Results
Energy, eV/atom: -6.40
ΔE_f, meV/atom: -104
SG: Cm, No. 8
Crystal system: monoclinic

=====

(7)
This record from Alexandria via LeMat-Bulk describes Pu2SbPt after structural relaxation. The functional is PBE.

a = 3.557 Å, b = 3.557 Å, c = 7.591 Å
α = 90.00°, β = 90.00°, γ = 90.00°
Atoms (fractional coordinates):
Pu1 0.000 0.000 0.224
Pu2 0.000 0.000 0.776
Sb1 0.500 0.500 0.500
Pt1 0.500 0.500 0.000

Results
E_form (uncorrected), eV per atom: -0.652
Energy, eV/atom: -10.36
SG: P4/mmm, No. 123
Crystal system: tetragonal

=====

(8)
This record from Alexandria via LeMat-Bulk describes NaNbCd2Pt after structural relaxation. The functional is PBE.

a = 4.751 Å, b = 4.751 Å, c = 5.069 Å
α = 90.00°, β = 90.00°, γ = 90.00°
Atoms (fractional coordinates):
Na1 0.000 0.000 0.000
Nb1 0.000 0.000 0.500
Cd1 0.000 0.500 0.000
Cd2 0.500 0.000 0.000
Pt1 0.500 0.500 0.500

Results
Energy, eV/atom: -2.42
ΔE_f, meV/atom: 1434
SG: P4/mmm, No. 123
Crystal system: tetragonal